## Rb3NaCd2F9 (PBE)

Data for an optimized crystal structure of Rb3NaCd2F9.

Structure (POSCAR):
```
Rb3NaCd2F9
1.0
6.2945 0.0000 0.0000
-3.1473 5.4512 0.0000
0.0000 0.0000 7.7533
Rb Na Cd F
3 1 2 9
direct
0.0000 0.0000 0.0000
0.3333 0.6667 0.6502
0.6667 0.3333 0.3498
0.0000 0.0000 0.5000
0.3333 0.6667 0.1672
0.6667 0.3333 0.8328
0.0000 0.5000 0.0000
0.1687 0.3374 0.3252
0.1687 0.8313 0.3252
0.3374 0.1687 0.6748
0.5000 0.0000 0.0000
0.5000 0.5000 0.0000
0.6626 0.8313 0.3252
0.8313 0.1687 0.6748
0.8313 0.6626 0.6748
```

Summary:
- M_tot (Bohr magnetons per cell) = 1.0
- ΔE_f (raw) (kJ/mol of formula units) = -3454